RbUAlO5: optimized geometry, GGA-PBE.

Unit cell a=6.124 b=6.124 c=8.102 alpha=105.92 beta=105.92 gamma=104.90
Positions (direct):
Rb 0.333 0.667 0.250
Rb 0.667 0.333 0.750
U 0.000 0.000 0.500
U 0.000 0.000 0.000
Al 0.691 0.309 0.250
Al 0.309 0.691 0.750
O 0.057 0.943 0.250
O 0.943 0.057 0.750
O 0.877 0.273 0.113
O 0.123 0.727 0.887
O 0.727 0.123 0.387
O 0.273 0.877 0.613
O 0.783 0.628 0.385
O 0.217 0.372 0.615
O 0.372 0.217 0.115
O 0.628 0.783 0.885

The raw total energy is -7.920 eV/atom. The uncorrected formation energy comes out at -2.821 eV/atom. The density of states at the Fermi level is 0.000 states/eV per atom.